NdTaCr2O8 | GGA+U | relaxed

It has space group P-1 (No. 2), with a = 4.775 Å, b = 4.779 Å, c = 6.462 Å, α = 88.95°, β = 88.94° and γ = 87.94°. The distinct sites, in fractional coordinates, are Nd at (0.000, 0.000, 0.000), Ta at (0.000, 0.000, 0.500), Cr at (0.499, 0.499, 0.746), O at (0.210, 0.790, 0.285), O at (0.211, 0.792, 0.715), O at (0.306, 0.307, 0.493) and O at (0.333, 0.335, 0.986).

The value obtained for the raw total energy is -8.148 eV per atom. Its density of states at the Fermi level is 0.37 states/eV per cell.